A relaxed structure of Cs2VSiF6, computed with GGA+U.

Calculated values
Final energy   -50.3 eV for the cell shown
Space-group type   No. 139
Mass density   4.2 g cm⁻³
Total magnetization   3.0 μB per formula unit

Cell: 6.5409 6.5409 6.5409 Å, 125.27 125.27 81.10°
With the nearest neighbours (Å) after each atom.
Fractional coordinates of all 10 atoms:
1 Cs 0.2500 0.7500 0.5000  12 F 3.03-3.27
2 Cs 0.7500 0.2500 0.5000  12 F 3.03-3.27
3 V 0.0000 0.0000 0.0000  6 F 2.11-2.19
4 Si 0.5000 0.5000 0.0000  4 F 2.06
5 F 0.2118 0.2118 0.0000  1 V 2.11
6 F 0.2578 0.2578 0.5156  1 Si 2.06, 1 V 2.19
7 F 0.2578 0.7422 0.0000  1 Si 2.06, 1 V 2.19
8 F 0.7422 0.2578 0.0000  1 Si 2.06, 1 V 2.19
9 F 0.7422 0.7422 0.4844  1 Si 2.06, 1 V 2.19
10 F 0.7882 0.7882 0.0000  1 V 2.11